Material: ScTa2Fe2
Method: DFT, GGA-PBE
State: relaxed

abc: 7.256 7.256 3.009
angles: 90.00 90.00 90.00
Fractional positions:
Fe1 0.866 0.634 0.000
Fe2 0.366 0.866 0.000
Fe3 0.134 0.366 0.000
Fe4 0.634 0.134 0.000
Ta1 0.344 0.156 0.500
Ta2 0.656 0.844 0.500
Ta3 0.156 0.656 0.500
Ta4 0.844 0.344 0.500
Sc1 0.000 0.000 0.000
Sc2 0.500 0.500 0.000

Values from the calculation:
Space-group type: P4/mbm
Distance to the lowest polymorph of the same formula in meV/atom: 0
Total magnetization in μB/atom: 0.000
VASP energy in eV per atom: -9.41
Formation energy in meV per atom: -22

=====

Material: ScTa2Fe2
Method: DFT, GGA-PBE
State: relaxed

abc: 7.458 7.458 2.844
angles: 90.00 90.00 90.00
Fractional positions:
Ta1 0.853 0.647 0.000
Ta2 0.647 0.147 0.000
Ta3 0.353 0.853 0.000
Ta4 0.147 0.353 0.000
Fe1 0.854 0.354 0.500
Fe2 0.146 0.646 0.500
Fe3 0.646 0.854 0.500
Fe4 0.354 0.146 0.500
Sc1 0.500 0.500 0.000
Sc2 0.000 0.000 0.000

Values from the calculation:
Space-group type: P4/mbm
Distance to the lowest polymorph of the same formula in meV/atom: 97
Total magnetization in μB/atom: 0.017
VASP energy in eV per atom: -9.32
Formation energy in meV per atom: 75

=====

Material: Sc2TaFe
Method: DFT, GGA-PBE
State: relaxed

abc: 5.435 5.435 5.435
angles: 137.67 137.67 61.41
Fractional positions:
Sc1 0.500 0.500 0.000
Sc2 0.000 0.000 0.000
Ta1 0.250 0.750 0.500
Fe1 0.750 0.250 0.500

Values from the calculation:
Space-group type: I4/mmm
Distance to the lowest polymorph of the same formula in meV/atom: 318
Total magnetization in μB/atom: 0.343
VASP energy in eV per atom: -7.96
Formation energy in meV per atom: 285

=====

Material: Sc2TaFe
Method: DFT, GGA-PBE
State: relaxed

abc: 5.177 5.177 2.972
angles: 90.00 90.00 108.84
Fractional positions:
Fe1 0.000 0.500 0.500
Ta1 0.500 0.000 0.500
Sc1 0.000 0.000 0.000
Sc2 0.500 0.500 0.000

Values from the calculation:
Space-group type: Cmmm
Distance to the lowest polymorph of the same formula in meV/atom: 326
Total magnetization in μB/atom: 0.534
VASP energy in eV per atom: -7.95
Formation energy in meV per atom: 293